# TaIn2Pt PBE relaxed
# * E: -5.869 eV per atom
# * energy relative to the elements: -0.027 eV per atom
# * distance to the lowest polymorph of the same formula: 109 meV per atom
# * theoretical density: 12.96 Mg/m³
# * crystal system: orthorhombic
# * magnetic moment: 0.00 μB per cell
data_TaIn2Pt
_symmetry_space_group_name_H-M 'P 1'
_symmetry_Int_Tables_number 1
_symmetry_space_group_name_Hall 'P 1'
_cell_length_a 4.0419
_cell_length_b 3.0874
_cell_length_c 6.9408
_cell_angle_alpha 63.59
_cell_angle_beta 90.00
_cell_angle_gamma 90.00
loop_
_atom_site_label
_atom_site_type_symbol
_atom_site_fract_x
_atom_site_fract_y
_atom_site_fract_z
_atom_site_occupancy
Ta1 Ta 0.5000 0.7640 0.7356 1
In1 In 0.5000 0.2351 0.2644 1
In2 In 0.0000 0.0169 0.9836 1
Pt1 Pt 0.0000 0.4840 0.5164 1